# 1
InH2I3: relaxed, PBE.

* uncorrected energy: -0.1676 Ry/atom
* crystal system: monoclinic

Geometry as CIF:
```
data_InH2I3
_chemical_formula_sum 'In4 H8 I12'
_symmetry_space_group_name_H-M 'C 1 2/c 1'
_symmetry_Int_Tables_number 15
_cell_length_a 10.7415
_cell_length_b 12.7435
_cell_length_c 7.8806
_cell_angle_alpha 90.00
_cell_angle_beta 123.60
_cell_angle_gamma 90.00
loop_
_symmetry_equiv_pos_as_xyz
'x,y,z'
'-x,-y,-z'
'-x,y,-z+1/2'
'x,-y,z+1/2'
'x+1/2,y+1/2,z'
'-x+1/2,-y+1/2,-z'
'-x+1/2,y+1/2,-z+1/2'
'x+1/2,-y+1/2,z+1/2'
loop_
_atom_site_label
_atom_site_fract_x
_atom_site_fract_y
_atom_site_fract_z
_atom_site_occupancy
In1 0.0000 0.0935 0.2500 1
H1 0.1256 0.3250 0.3376 1
I1 0.0000 0.4247 0.2500 1
I2 0.2087 0.0831 0.0431 1
```

=====

# 2
InH3I3: relaxed, PBE.

* uncorrected energy: -0.1817 Ry/atom
* Fermi-level density of states: 2.061 states/eV per cell
* crystal system: triclinic

Geometry as CIF:
```
data_InH3I3
_chemical_formula_sum 'In2 H6 I6'
_symmetry_space_group_name_H-M 'P -1'
_symmetry_Int_Tables_number 2
_cell_length_a 6.3868
_cell_length_b 7.6409
_cell_length_c 10.0066
_cell_angle_alpha 110.60
_cell_angle_beta 93.24
_cell_angle_gamma 95.75
loop_
_symmetry_equiv_pos_as_xyz
'x,y,z'
'-x,-y,-z'
loop_
_atom_site_label
_atom_site_fract_x
_atom_site_fract_y
_atom_site_fract_z
_atom_site_occupancy
In1 0.2302 0.4162 0.3374 1
H1 0.0711 0.1839 0.8724 1
H2 0.1983 0.1621 0.3214 1
H3 0.2294 0.6480 0.3110 1
I1 0.2201 0.9077 0.3204 1
I2 0.2794 0.5839 0.6662 1
I3 0.2963 0.2251 0.9797 1
```

=====

# 3
In3H4I: relaxed, PBE.

* uncorrected energy: -0.2000 Ry/atom
* Fermi-level density of states: 2.407 states/eV per cell
* crystal system: triclinic

Geometry as CIF:
```
data_In3H4I
_chemical_formula_sum 'In3 H4 I1'
_symmetry_space_group_name_H-M 'P -1'
_symmetry_Int_Tables_number 2
_cell_length_a 3.9805
_cell_length_b 5.0237
_cell_length_c 8.8721
_cell_angle_alpha 106.31
_cell_angle_beta 90.11
_cell_angle_gamma 90.02
loop_
_symmetry_equiv_pos_as_xyz
'x,y,z'
'-x,-y,-z'
loop_
_atom_site_label
_atom_site_fract_x
_atom_site_fract_y
_atom_site_fract_z
_atom_site_occupancy
In1 0.0000 0.0000 0.0000 1
In2 0.0033 0.7398 0.6523 1
H1 0.0001 0.3274 0.5811 1
H2 0.4975 0.2136 0.3439 1
I1 0.5000 0.5000 0.0000 1
```

=====

# 4
In2H6I: relaxed, PBE.

* uncorrected energy: -0.2157 Ry/atom
* Fermi-level density of states: 1.802 states/eV per cell
* crystal system: triclinic

Geometry as CIF:
```
data_In2H6I
_chemical_formula_sum 'In2 H6 I1'
_symmetry_space_group_name_H-M 'P -1'
_symmetry_Int_Tables_number 2
_cell_length_a 5.5066
_cell_length_b 6.6741
_cell_length_c 6.6996
_cell_angle_alpha 99.40
_cell_angle_beta 113.68
_cell_angle_gamma 113.28
loop_
_symmetry_equiv_pos_as_xyz
'x,y,z'
'-x,-y,-z'
loop_
_atom_site_label
_atom_site_fract_x
_atom_site_fract_y
_atom_site_fract_z
_atom_site_occupancy
In1 0.1552 0.4040 0.4039 1
H1 0.4444 0.9883 0.4376 1
H2 0.4448 0.4376 0.9885 1
H3 0.4986 0.6219 0.3773 1
I1 0.0000 0.0000 0.0000 1
```

=====

# 5
InHI: relaxed, PBE.

* uncorrected energy: -0.1934 Ry/atom
* Fermi-level density of states: 1.095 states/eV per cell
* crystal system: monoclinic

Geometry as CIF:
```
data_InHI
_chemical_formula_sum 'In2 H2 I2'
_symmetry_space_group_name_H-M 'P 1 21/m 1'
_symmetry_Int_Tables_number 11
_cell_length_a 3.9820
_cell_length_b 6.4449
_cell_length_c 6.4628
_cell_angle_alpha 90.00
_cell_angle_beta 90.47
_cell_angle_gamma 90.00
loop_
_symmetry_equiv_pos_as_xyz
'x,y,z'
'-x,-y,-z'
'-x,y+1/2,-z'
'x,-y+1/2,z'
loop_
_atom_site_label
_atom_site_fract_x
_atom_site_fract_y
_atom_site_fract_z
_atom_site_occupancy
In1 0.0082 0.2500 0.2498 1
H1 0.4922 0.7500 0.7500 1
I1 0.0021 0.2500 0.7500 1
```

=====

# 6
InHI2N: relaxed, PBE.

* Fermi-level density of states: 2.904 states/eV per cell
* distance to the lowest polymorph of the same formula: 197 meV/atom
* crystal system: tetragonal

Geometry as CIF:
```
data_InHI2N
_chemical_formula_sum 'In1 H1 I2 N1'
_symmetry_space_group_name_H-M 'P 4/m m m'
_symmetry_Int_Tables_number 123
_symmetry_space_group_name_Hall '-P 4 2'
_cell_length_a 6.1836
_cell_length_b 6.1836
_cell_length_c 4.3028
_cell_angle_alpha 90.00
_cell_angle_beta 90.00
_cell_angle_gamma 90.00
loop_
_atom_site_label
_atom_site_fract_x
_atom_site_fract_y
_atom_site_fract_z
_atom_site_occupancy
In1 0.0000 0.0000 0.0000 1
H1 0.5000 0.5000 0.5000 1
I1 0.0000 0.5000 0.0000 1
N1 0.0000 0.0000 0.5000 1
```

=====

What is the formula in the first record? InH2I3